1.
Crystalline Li3IBr2 at its relaxed geometry. Source: Alexandria via LeMat-Bulk, functional GGA-PBE.

The structure belongs to space group Cc (No. 9); the cell edges are 7.460, 12.932 and 7.418 Å and the angles 90.00°, 109.25° and 90.00°. The asymmetric unit holds Li at (0.000, 0.082, 0.000), Li at (0.030, 0.238, 0.503), Li at (0.035, 0.405, 0.024), I at (0.395, 0.086, 0.130), Br at (0.396, 0.254, 0.634) and Br at (0.396, 0.417, 0.133).

Its density of states at the Fermi level is 0.00 states/eV per cell. The calculation puts the uncorrected formation energy at -1430 meV per atom. The calculation puts the raw total energy at -0.11771 hartree per atom. The value obtained for the magnetic moment is 0.00 μB/cell.

***

2.
Crystalline Li3I2Br at its relaxed geometry. Source: Alexandria via LeMat-Bulk, functional GGA-PBE.

The structure belongs to space group Cc (No. 9); the cell edges are 7.685, 13.318 and 7.632 Å and the angles 90.00°, 109.34° and 90.00°. The asymmetric unit holds Li at (0.000, 0.072, 0.000), Li at (0.006, 0.239, 0.525), Li at (0.033, 0.415, 0.025), I at (0.386, 0.083, 0.139), I at (0.388, 0.254, 0.639) and Br at (0.387, 0.419, 0.141).

Its density of states at the Fermi level is 0.00 states/eV per cell. The calculation puts the uncorrected formation energy at -1321 meV per atom. The calculation puts the raw total energy at -0.11293 hartree per atom. The value obtained for the magnetic moment is 0.00 μB/cell.

***

3.
Crystalline LiI2Br6 at its relaxed geometry. Source: Alexandria via LeMat-Bulk, functional GGA-PBE.

The structure belongs to space group P-1 (No. 2); the cell edges are 4.384, 8.390 and 9.400 Å and the angles 104.50°, 102.49° and 98.07°. The asymmetric unit holds Li at (0.000, 0.000, 0.000), I at (0.293, 0.619, 0.187), Br at (0.033, 0.312, 0.207), Br at (0.342, 0.305, 0.520) and Br at (0.475, 0.069, 0.832).

Its density of states at the Fermi level is 1.79 states/eV per cell. The calculation puts the uncorrected formation energy at -247 meV per atom. The calculation puts the raw total energy at -0.07054 hartree per atom. The value obtained for the magnetic moment is 0.00 μB/cell.

***

4.
Crystalline LiI2Br at its relaxed geometry. Source: Alexandria via LeMat-Bulk, functional GGA-PBE.

The structure belongs to space group P2_1 (No. 4); the cell edges are 5.344, 4.417 and 12.723 Å and the angles 90.00°, 90.25° and 90.00°. The asymmetric unit holds Li at (0.041, 0.000, 0.402), I at (0.136, 0.113, 0.082), I at (0.414, 0.826, 0.240) and Br at (0.204, 0.005, 0.592).

The calculation puts the uncorrected formation energy at -696 meV per atom. The calculation puts the raw total energy at -0.08700 hartree per atom. As for the polymorph energy (0 for the lowest one): 0.011 eV/atom. The value obtained for the magnetic moment is 0.00 μB/cell.

***

5.
Crystalline LiIBr2 at its relaxed geometry. Source: Alexandria via LeMat-Bulk, functional GGA-PBE.

The structure belongs to space group R-3m (No. 166, hexagonal axes); the cell edges are 4.2998, 4.2998 and 24.4667 Å and the angles 90.00°, 90.00° and 120.00°. The asymmetric unit holds Li at (0.0000, 0.0000, 0.0000), I at (0.0000, 0.0000, 0.5000) and Br at (0.0000, 0.0000, 0.3881).

Its density of states at the Fermi level is 0.00 states/eV per cell. The calculation puts the uncorrected formation energy at -746 meV per atom. The calculation puts the raw total energy at -0.08998 hartree per atom. As for the polymorph energy (0 for the lowest one): 0.000 eV/atom. The value obtained for the magnetic moment is 0.00 μB/cell.

***

6.
Crystalline Li4I3Br at its relaxed geometry. Source: Alexandria via LeMat-Bulk, functional GGA-PBE.

The structure belongs to space group Pmn2_1 (No. 31); the cell edges are 8.936, 7.765 and 7.248 Å and the angles 90.00°, 90.00° and 90.00°. The asymmetric unit holds Li at (0.000, 0.144, 0.000), Li at (0.000, 0.830, 0.531), Li at (0.237, 0.674, 0.999), I at (0.000, 0.161, 0.385), I at (0.249, 0.331, 0.885) and Br at (0.000, 0.830, 0.886).

Its density of states at the Fermi level is 0.00 states/eV per cell. The calculation puts the uncorrected formation energy at -1296 meV per atom. The calculation puts the raw total energy at -0.11185 hartree per atom. As for the polymorph energy (0 for the lowest one): 0.000 eV/atom. The value obtained for the magnetic moment is 0.00 μB/cell.

***

7.
Crystalline LiI2Br at its relaxed geometry. Source: Alexandria via LeMat-Bulk, functional GGA-PBE.

The structure belongs to space group I-42d (No. 122); the cell edges are 5.642, 5.642 and 20.474 Å and the angles 90.00°, 90.00° and 90.00°. The asymmetric unit holds Li at (0.000, 0.000, 0.000), I at (0.082, 0.250, 0.125) and Br at (0.000, 0.000, 0.500).

Its density of states at the Fermi level is 0.00 states/eV per cell. The calculation puts the uncorrected formation energy at -314 meV per atom. The calculation puts the raw total energy at -0.07298 hartree per atom. As for the polymorph energy (0 for the lowest one): 0.393 eV/atom. The value obtained for the magnetic moment is 0.00 μB/cell.

***

8.
Crystalline LiIBr2 at its relaxed geometry. Source: Alexandria via LeMat-Bulk, functional GGA-PBE.

The structure belongs to space group Fm-3m (No. 225); the cell edges are 7.877, 7.877 and 7.877 Å and the angles 90.00°, 90.00° and 90.00°. The asymmetric unit holds Li at (0.000, 0.000, 0.000), I at (0.000, 0.000, 0.500) and Br at (0.250, 0.250, 0.250).

Its density of states at the Fermi level is 13.53 states/eV per cell. The calculation puts the uncorrected formation energy at -199 meV per atom. The calculation puts the raw total energy at -0.06987 hartree per atom. As for the polymorph energy (0 for the lowest one): 0.547 eV/atom. The value obtained for the magnetic moment is 8.00 μB/cell.

***

9.
Crystalline LiI2Br at its relaxed geometry. Source: Alexandria via LeMat-Bulk, functional GGA-PBE.

The structure belongs to space group P1 (No. 1); the cell edges are 6.708, 7.196 and 7.687 Å and the angles 104.26°, 102.55° and 107.28°. The asymmetric unit holds Li at (0.000, 0.000, 0.000), Li at (0.037, 0.478, 0.623), I at (0.087, 0.763, 0.378), I at (0.452, 0.699, 0.582), I at (0.475, 0.211, 0.075), I at (0.801, 0.099, 0.289), Br at (0.119, 0.297, 0.879) and Br at (0.811, 0.626, 0.806).

The calculation puts the uncorrected formation energy at -661 meV per atom. The calculation puts the raw total energy at -0.08572 hartree per atom. As for the polymorph energy (0 for the lowest one): 0.046 eV/atom. The value obtained for the magnetic moment is 0.00 μB/cell.

***

10.
Crystalline LiMgIBr2 at its relaxed geometry. Source: Alexandria via LeMat-Bulk, functional GGA-PBE.

The structure belongs to space group P2_1/m (No. 11); the cell edges are 7.022, 4.171 and 10.372 Å and the angles 90.00°, 91.12° and 90.00°. The asymmetric unit holds Li at (0.093, 0.250, 0.418), Mg at (0.251, 0.750, 0.997), I at (0.413, 0.250, 0.835), Br at (0.087, 0.250, 0.137) and Br at (0.237, 0.750, 0.495).

Its density of states at the Fermi level is 0.00 states/eV per cell. The calculation puts the uncorrected formation energy at -1309 meV per atom. The calculation puts the raw total energy at -0.10989 hartree per atom. The value obtained for the magnetic moment is 0.00 μB/cell.

***

11.
Crystalline LiMnI2Br at its relaxed geometry. Source: Alexandria via LeMat-Bulk, functional GGA-PBE.

The structure belongs to space group P4/mmm (No. 123); the cell edges are 5.078, 5.078 and 6.714 Å and the angles 90.00°, 90.00° and 90.00°. The asymmetric unit holds Li at (0.000, 0.000, 0.000), Mn at (0.000, 0.000, 0.500), I at (0.000, 0.500, 0.000) and Br at (0.500, 0.500, 0.500).

Its density of states at the Fermi level is 3.50 states/eV per cell. The calculation puts the uncorrected formation energy at 140 meV per atom. The calculation puts the raw total energy at -0.11142 hartree per atom. The value obtained for the magnetic moment is 5.39 μB/cell.

***

12.
Crystalline LiI2BrN at its relaxed geometry. Source: Alexandria via LeMat-Bulk, functional GGA-PBE.

The structure belongs to space group P4/mmm (No. 123); the cell edges are 6.670, 6.670 and 3.746 Å and the angles 90.00°, 90.00° and 90.00°. The asymmetric unit holds Li at (0.000, 0.000, 0.000), I at (0.000, 0.500, 0.500), Br at (0.500, 0.500, 0.500) and N at (0.500, 0.500, 0.000).

Its density of states at the Fermi level is 2.77 states/eV per cell. The calculation puts the uncorrected formation energy at 737 meV per atom. The calculation puts the raw total energy at -0.08325 hartree per atom. As for the polymorph energy (0 for the lowest one): 0.000 eV/atom. The value obtained for the magnetic moment is 0.00 μB/cell.

***

13.
Crystalline LiI2BrN at its relaxed geometry. Source: Alexandria via LeMat-Bulk, functional GGA-PBE.

The structure belongs to space group P4/mmm (No. 123); the cell edges are 5.580, 5.580 and 3.834 Å and the angles 90.00°, 90.00° and 90.00°. The asymmetric unit holds Li at (0.000, 0.000, 0.000), I at (0.000, 0.500, 0.000), Br at (0.500, 0.500, 0.500) and N at (0.000, 0.000, 0.500).

Its density of states at the Fermi level is 7.00 states/eV per cell. The calculation puts the uncorrected formation energy at 947 meV per atom. The calculation puts the raw total energy at -0.07553 hartree per atom. As for the polymorph energy (0 for the lowest one): 0.210 eV/atom. The value obtained for the magnetic moment is 0.00 μB/cell.

***

14.
Crystalline Li6IBr2N at its relaxed geometry. Source: Alexandria via LeMat-Bulk, functional GGA-PBE.

The structure belongs to space group C2/m (No. 12); the cell edges are 11.348, 6.449 and 6.427 Å and the angles 90.00°, 122.10° and 90.00°. The asymmetric unit holds Li at (0.082, 0.210, 0.395), Li at (0.172, 0.000, 0.824), I at (0.000, 0.500, 0.000), Br at (0.248, 0.500, 0.717) and N at (0.000, 0.000, 0.500).

Its density of states at the Fermi level is 0.00 states/eV per cell. The calculation puts the uncorrected formation energy at -991 meV per atom. The calculation puts the raw total energy at -0.12722 hartree per atom. The value obtained for the magnetic moment is 0.26 μB/cell.

***

15.
Crystalline Na2LiIBr2 at its relaxed geometry. Source: Alexandria via LeMat-Bulk, functional GGA-PBE.

The structure belongs to space group Cmc2_1 (No. 36); the cell edges are 13.702, 8.243 and 7.452 Å and the angles 90.00°, 90.00° and 90.00°. The asymmetric unit holds Na at (0.171, 0.164, 0.000), Li at (0.000, 0.316, 0.527), I at (0.000, 0.365, 0.152) and Br at (0.156, 0.167, 0.615).

Its density of states at the Fermi level is 0.00 states/eV per cell. The calculation puts the uncorrected formation energy at -1415 meV per atom. The calculation puts the raw total energy at -0.10988 hartree per atom. The value obtained for the magnetic moment is 0.00 μB/cell.

***

16.
Crystalline NaLiI2Br6 at its relaxed geometry. Source: Alexandria via LeMat-Bulk, functional GGA-PBE.

The structure belongs to space group P1 (No. 1); the cell edges are 6.049, 8.214 and 8.350 Å and the angles 73.10°, 76.52° and 69.11°. The asymmetric unit holds Na at (0.000, 0.000, 0.000), Li at (0.509, 0.447, 0.462), I at (0.308, 0.305, 0.197), I at (0.521, 0.869, 0.680), Br at (0.014, 0.872, 0.697), Br at (0.168, 0.633, 0.273), Br at (0.324, 0.219, 0.700), Br at (0.487, 0.974, 0.141), Br at (0.687, 0.520, 0.673) and Br at (0.806, 0.301, 0.207).

Its density of states at the Fermi level is 1.43 states/eV per cell. The calculation puts the uncorrected formation energy at -591 meV per atom. The calculation puts the raw total energy at -0.08190 hartree per atom. The value obtained for the magnetic moment is 0.00 μB/cell.

***

17.
Crystalline Na2LiIBr4 at its relaxed geometry. Source: Alexandria via LeMat-Bulk, functional GGA-PBE.

The structure belongs to space group C2/c (No. 15); the cell edges are 10.692, 14.108 and 8.854 Å and the angles 90.00°, 126.98° and 90.00°. The asymmetric unit holds Na at (0.000, 0.000, 0.000), Na at (0.250, 0.250, 0.000), Li at (0.000, 0.500, 0.000), I at (0.250, 0.250, 0.500), Br at (0.068, 0.313, 0.599) and Br at (0.226, 0.042, 0.912).

Its density of states at the Fermi level is 0.00 states/eV per cell. The calculation puts the uncorrected formation energy at -1098 meV per atom. The calculation puts the raw total energy at -0.09912 hartree per atom. The value obtained for the magnetic moment is 0.00 μB/cell.

***

18.
Crystalline Na3Li2I2Br3 at its relaxed geometry. Source: Alexandria via LeMat-Bulk, functional GGA-PBE.

The structure belongs to space group I4/mmm (No. 139); the cell edges are 4.337, 4.337 and 33.044 Å and the angles 90.00°, 90.00° and 90.00°. The asymmetric unit holds Na at (0.000, 0.000, 0.000), Na at (0.000, 0.000, 0.412), Li at (0.000, 0.500, 0.250), I at (0.000, 0.000, 0.300), Br at (0.000, 0.000, 0.092) and Br at (0.000, 0.000, 0.500).

Its density of states at the Fermi level is 0.00 states/eV per cell. The calculation puts the uncorrected formation energy at -1371 meV per atom. The calculation puts the raw total energy at -0.10885 hartree per atom. The value obtained for the magnetic moment is 0.00 μB/cell.

***

19.
Crystalline Na3Li2I3Br2 at its relaxed geometry. Source: Alexandria via LeMat-Bulk, functional GGA-PBE.

The structure belongs to space group I4/mmm (No. 139); the cell edges are 4.600, 4.600 and 29.945 Å and the angles 90.00°, 90.00° and 90.00°. The asymmetric unit holds Na at (0.000, 0.000, 0.000), Na at (0.000, 0.000, 0.394), Li at (0.000, 0.500, 0.250), I at (0.000, 0.000, 0.111), I at (0.000, 0.000, 0.500) and Br at (0.000, 0.000, 0.288).

Its density of states at the Fermi level is 0.00 states/eV per cell. The calculation puts the uncorrected formation energy at -1346 meV per atom. The calculation puts the raw total energy at -0.10745 hartree per atom. The value obtained for the magnetic moment is 0.00 μB/cell.

***

20.
Crystalline NaLi2I2Br at its relaxed geometry. Source: Alexandria via LeMat-Bulk, functional GGA-PBE.

The structure belongs to space group Cmc2_1 (No. 36); the cell edges are 13.594, 8.097 and 7.446 Å and the angles 90.00°, 90.00° and 90.00°. The asymmetric unit holds Na at (0.000, 0.157, 0.000), Li at (0.160, 0.327, 0.472), I at (0.178, 0.350, 0.847) and Br at (0.000, 0.184, 0.387).

Its density of states at the Fermi level is 0.00 states/eV per cell. The calculation puts the uncorrected formation energy at -1319 meV per atom. The calculation puts the raw total energy at -0.10922 hartree per atom. The value obtained for the magnetic moment is 0.00 μB/cell.